(1)
Compound: TaTiCu2Te
Source: the Alexandria database
Functional: GGA-PBE
Structure: relaxed

The structure in POSCAR format:
```
TaTiCu2Te
1.0
4.766 0.000 0.000
0.000 4.766 0.000
0.000 0.000 5.169
Ta Ti Cu Te
1 1 2 1
Direct
0.000 0.000 0.000 Ta
0.500 0.500 0.500 Ti
0.000 0.500 0.000 Cu
0.500 0.000 0.000 Cu
0.000 0.000 0.500 Te
```

Values from the calculation:
E ... -25.4 eV for the cell shown
N(E_F) ... 7.5 states/eV/f.u.
Formation energy without anion corrections ... 1.146 eV per atom

(2)
Compound: DyTm4Ni2
Source: the Alexandria database
Functional: GGA-PBE
Structure: relaxed

The structure in POSCAR format:
```
DyTm4Ni2
1.0
7.479 0.000 0.000
0.000 6.283 0.000
-2.960 0.000 7.195
Dy Tm Ni
2 8 4
Direct
0.151 0.250 0.025 Dy
0.849 0.750 0.975 Dy
0.026 0.250 0.388 Tm
0.253 0.750 0.344 Tm
0.409 0.003 0.767 Tm
0.409 0.497 0.767 Tm
0.591 0.503 0.233 Tm
0.591 0.997 0.233 Tm
0.747 0.250 0.656 Tm
0.974 0.750 0.612 Tm
0.257 0.750 0.993 Ni
0.382 0.250 0.415 Ni
0.618 0.750 0.585 Ni
0.743 0.250 0.007 Ni
```

Values from the calculation:
E ... -70.6 eV for the cell shown
N(E_F) ... 9.1 states/eV/f.u.
ΔE_f ... -181.9 meV/atom
Relative energy among the computed polymorphs ... 0.0 kJ per mole of atoms

(3)
Compound: PuScSb2
Source: the Alexandria database
Functional: GGA-PBE
Structure: relaxed

The structure in POSCAR format:
```
PuScSb2
1.0
4.946 0.000 0.000
0.000 4.946 0.000
0.000 0.000 4.083
Pu Sc Sb
1 1 2
Direct
0.000 0.000 0.000 Pu
0.500 0.500 0.000 Sc
0.000 0.500 0.500 Sb
0.500 0.000 0.500 Sb
```

Values from the calculation:
E ... -31.2 eV for the cell shown
N(E_F) ... 10.3 states/eV/f.u.
Formation energy without anion corrections ... -0.582 eV per atom
Relative energy among the computed polymorphs ... 17.5 kJ per mole of atoms

(4)
Compound: Ca3GePt8
Source: the Alexandria database
Functional: GGA-PBE
Structure: relaxed

The structure in POSCAR format:
```
Ca3GePt8
1.0
2.737 1.580 8.836
-2.737 1.580 8.836
0.000 -3.161 8.836
Ca Ge Pt
3 1 8
Direct
0.000 0.000 0.000 Ca
0.131 0.131 0.131 Ca
0.520 0.520 0.520 Ca
0.659 0.659 0.659 Ge
0.068 0.068 0.567 Pt
0.068 0.567 0.068 Pt
0.073 0.566 0.566 Pt
0.316 0.316 0.316 Pt
0.566 0.073 0.566 Pt
0.566 0.566 0.073 Pt
0.567 0.068 0.068 Pt
0.818 0.818 0.818 Pt
```

Values from the calculation:
E ... -68.1 eV for the cell shown
N(E_F) ... 7.0 states/eV/f.u.
ΔE_f ... -759.4 meV/atom

(5)
Compound: Y3CuSn
Source: the Alexandria database
Functional: GGA-PBE
Structure: relaxed

The structure in POSCAR format:
```
Y3CuSn
1.0
5.257 0.000 0.000
0.000 5.257 0.000
0.000 0.000 5.257
Y Cu Sn
3 1 1
Direct
0.000 0.000 0.500 Y
0.000 0.500 0.000 Y
0.500 0.000 0.000 Y
0.000 0.000 0.000 Cu
0.500 0.500 0.500 Sn
```

Values from the calculation:
E ... -28.3 eV for the cell shown
N(E_F) ... 5.9 states/eV/f.u.
ΔE_f ... -170.1 meV/atom
Relative energy among the computed polymorphs ... 21.5 kJ per mole of atoms

(6)
Compound: LaGeI2
Source: the Alexandria database
Functional: GGA-PBE
Structure: relaxed

The structure in POSCAR format:
```
LaGeI2
1.0
3.982 0.000 0.000
-1.991 3.449 0.000
0.000 0.000 31.677
La Ge I
3 3 6
Direct
0.000 0.000 0.000 La
0.333 0.667 0.667 La
0.667 0.333 0.333 La
0.000 0.000 0.500 Ge
0.333 0.667 0.167 Ge
0.667 0.333 0.833 Ge
0.000 0.000 0.100 I
0.000 0.000 0.900 I
0.333 0.667 0.567 I
0.333 0.667 0.766 I
0.667 0.333 0.234 I
0.667 0.333 0.433 I
```

Values from the calculation:
E ... -38.7 eV for the cell shown
N(E_F) ... 3.7 states/eV/f.u.
Formation energy without anion corrections ... -0.065 eV per atom
Relative energy among the computed polymorphs ... 35.0 kJ per mole of atoms

(7)
Compound: Ba2SnSbH
Source: the Alexandria database
Functional: GGA-PBE
Structure: relaxed

The structure in POSCAR format:
```
Ba2SnSbH
1.0
5.727 0.000 0.000
0.000 5.727 0.000
0.000 0.000 4.657
Ba Sn Sb H
2 1 1 1
Direct
0.000 0.500 0.000 Ba
0.500 0.000 0.000 Ba
0.000 0.000 0.500 Sn
0.500 0.500 0.500 Sb
0.000 0.000 0.000 H
```

Values from the calculation:
E ... -17.9 eV for the cell shown
N(E_F) ... 2.5 states/eV/f.u.

(8)
Compound: InTcPb2
Source: the Alexandria database
Functional: GGA-PBE
Structure: relaxed

The structure in POSCAR format:
```
InTcPb2
1.0
4.607 0.000 0.000
0.000 4.607 0.000
0.000 0.000 9.191
In Tc Pb
2 2 4
Direct
0.000 0.000 0.000 In
0.500 0.500 0.500 In
0.000 0.000 0.500 Tc
0.500 0.500 0.000 Tc
0.000 0.500 0.250 Pb
0.000 0.500 0.750 Pb
0.500 0.000 0.250 Pb
0.500 0.000 0.750 Pb
```

Values from the calculation:
E ... -35.9 eV for the cell shown
N(E_F) ... 2.8 states/eV/f.u.
ΔE_f ... 637.8 meV/atom

(9)
Compound: Ho3S5
Source: the Alexandria database
Functional: GGA-PBE
Structure: relaxed

The structure in POSCAR format:
```
Ho3S5
1.0
8.303 0.000 0.000
-4.151 7.190 0.000
0.000 0.000 5.496
Ho S
6 10
Direct
0.000 0.364 0.250 Ho
0.000 0.636 0.750 Ho
0.364 0.000 0.250 Ho
0.364 0.364 0.750 Ho
0.636 0.000 0.750 Ho
0.636 0.636 0.250 Ho
0.000 0.280 0.750 S
0.000 0.720 0.250 S
0.280 0.000 0.750 S
0.280 0.280 0.250 S
0.333 0.667 0.000 S
0.333 0.667 0.500 S
0.667 0.333 0.000 S
0.667 0.333 0.500 S
0.720 0.000 0.250 S
0.720 0.720 0.750 S
```

Values from the calculation:
E ... -98.1 eV for the cell shown
N(E_F) ... 1.4 states/eV/f.u.
Formation energy without anion corrections ... -1.837 eV per atom

(10)
Compound: NaLi2HgPb
Source: the Alexandria database
Functional: GGA-PBE
Structure: relaxed

The structure in POSCAR format:
```
NaLi2HgPb
1.0
2.506 -5.568 0.000
2.506 5.568 0.000
0.000 0.000 8.590
Na Li Hg Pb
2 4 2 2
Direct
0.000 0.000 0.000 Na
0.000 0.000 0.500 Na
0.300 0.700 0.572 Li
0.300 0.700 0.928 Li
0.700 0.300 0.072 Li
0.700 0.300 0.428 Li
0.489 0.511 0.250 Hg
0.511 0.489 0.750 Hg
0.220 0.780 0.250 Pb
0.780 0.220 0.750 Pb
```

Values from the calculation:
E ... -20.5 eV for the cell shown
N(E_F) ... 2.3 states/eV/f.u.
ΔE_f ... -222.8 meV/atom

(11)
Compound: InIN2
Source: the Alexandria database
Functional: GGA-PBE
Structure: relaxed

The structure in POSCAR format:
```
InIN2
1.0
3.496 0.000 0.000
-1.748 3.027 0.000
0.000 0.000 19.440
In I N
3 3 6
Direct
0.000 0.000 0.000 In
0.333 0.667 0.667 In
0.667 0.333 0.333 In
0.000 0.000 0.500 I
0.333 0.667 0.167 I
0.667 0.333 0.833 I
0.000 0.000 0.391 N
0.000 0.000 0.609 N
0.333 0.667 0.058 N
0.333 0.667 0.276 N
0.667 0.333 0.724 N
0.667 0.333 0.942 N
```

Values from the calculation:
E ... -51.8 eV for the cell shown
N(E_F) ... 4.1 states/eV/f.u.
Formation energy without anion corrections ... 0.915 eV per atom
Relative energy among the computed polymorphs ... 101.3 kJ per mole of atoms

(12)
Compound: BeV2Fe2Co5
Source: the Alexandria database
Functional: GGA-PBE
Structure: relaxed

The structure in POSCAR format:
```
BeV2Fe2Co5
1.0
7.846 0.000 0.000
0.000 7.846 0.000
0.000 0.000 3.704
Be V Fe Co
2 4 4 10
Direct
0.000 0.000 0.000 Be
0.500 0.500 0.000 Be
0.162 0.338 0.000 V
0.338 0.838 0.000 V
0.662 0.162 0.000 V
0.838 0.662 0.000 V
0.136 0.636 0.000 Fe
0.364 0.136 0.000 Fe
0.636 0.864 0.000 Fe
0.864 0.364 0.000 Fe
0.000 0.500 0.500 Co
0.072 0.806 0.500 Co
0.194 0.072 0.500 Co
0.306 0.572 0.500 Co
0.428 0.306 0.500 Co
0.500 0.000 0.500 Co
0.572 0.694 0.500 Co
0.694 0.428 0.500 Co
0.806 0.928 0.500 Co
0.928 0.194 0.500 Co
```

Values from the calculation:
E ... -147.8 eV for the cell shown
N(E_F) ... 10.1 states/eV/f.u.
ΔE_f ... 53.8 meV/atom

(13)
Compound: VSi3Ag
Source: the Alexandria database
Functional: GGA-PBE
Structure: relaxed

The structure in POSCAR format:
```
VSi3Ag
1.0
4.795 0.000 0.000
0.000 4.795 0.000
0.000 0.000 4.795
V Si Ag
1 3 1
Direct
0.000 0.000 0.000 V
0.000 0.500 0.500 Si
0.500 0.000 0.500 Si
0.500 0.500 0.000 Si
0.500 0.500 0.500 Ag
```

Values from the calculation:
E ... -21.3 eV for the cell shown
N(E_F) ... 7.7 states/eV/f.u.
Formation energy without anion corrections ... 1.387 eV per atom

(14)
Compound: PmCdSb2
Source: the Alexandria database
Functional: GGA-PBE
Structure: relaxed

The structure in POSCAR format:
```
PmCdSb2
1.0
5.003 0.000 0.000
0.000 5.003 0.000
0.000 0.000 4.252
Pm Cd Sb
1 1 2
Direct
0.000 0.000 0.000 Pm
0.500 0.500 0.000 Cd
0.000 0.500 0.500 Sb
0.500 0.000 0.500 Sb
```

Values from the calculation:
E ... -16.0 eV for the cell shown
N(E_F) ... 1.9 states/eV/f.u.
Formation energy without anion corrections ... -0.530 eV per atom
Relative energy among the computed polymorphs ... 4.8 kJ per mole of atoms

(15)
Compound: HfFeB2
Source: the Alexandria database
Functional: GGA-PBE
Structure: relaxed

The structure in POSCAR format:
```
HfFeB2
1.0
3.774 0.000 0.000
0.000 3.774 0.000
0.000 0.000 13.272
Hf Fe B
4 4 8
Direct
0.000 0.250 0.375 Hf
0.000 0.750 0.625 Hf
0.500 0.250 0.125 Hf
0.500 0.750 0.875 Hf
0.000 0.250 0.875 Fe
0.000 0.750 0.125 Fe
0.500 0.250 0.625 Fe
0.500 0.750 0.375 Fe
0.000 0.000 0.000 B
0.000 0.500 0.000 B
0.250 0.250 0.750 B
0.250 0.750 0.250 B
0.500 0.000 0.500 B
0.500 0.500 0.500 B
0.750 0.250 0.750 B
0.750 0.750 0.250 B
```

Values from the calculation:
E ... -130.0 eV for the cell shown
N(E_F) ... 1.4 states/eV/f.u.
ΔE_f ... -182.5 meV/atom
Relative energy among the computed polymorphs ... 49.2 kJ per mole of atoms

(16)
Compound: SrZn2Ir2
Source: the Alexandria database
Functional: GGA-PBE
Structure: relaxed

The structure in POSCAR format:
```
SrZn2Ir2
1.0
4.122 0.000 0.000
0.000 4.122 0.000
0.000 0.000 11.114
Sr Zn Ir
2 4 4
Direct
0.000 0.000 0.000 Sr
0.500 0.500 0.500 Sr
0.000 0.000 0.386 Zn
0.000 0.000 0.614 Zn
0.500 0.500 0.114 Zn
0.500 0.500 0.886 Zn
0.000 0.500 0.250 Ir
0.000 0.500 0.750 Ir
0.500 0.000 0.250 Ir
0.500 0.000 0.750 Ir
```

Values from the calculation:
E ... -45.4 eV for the cell shown
N(E_F) ... 4.0 states/eV/f.u.
ΔE_f ... -147.1 meV/atom
Relative energy among the computed polymorphs ... 10.3 kJ per mole of atoms

(17)
Compound: AcTmIr2
Source: the Alexandria database
Functional: GGA-PBE
Structure: relaxed

The structure in POSCAR format:
```
AcTmIr2
1.0
3.484 0.000 0.000
0.000 3.484 0.000
0.000 0.000 7.347
Ac Tm Ir
1 1 2
Direct
0.000 0.000 0.000 Ac
0.000 0.000 0.500 Tm
0.500 0.500 0.282 Ir
0.500 0.500 0.718 Ir
```

Values from the calculation:
E ... -28.7 eV for the cell shown
N(E_F) ... 3.5 states/eV/f.u.
ΔE_f ... -594.7 meV/atom
Relative energy among the computed polymorphs ... 0.0 kJ per mole of atoms

(18)
Compound: LaEr4Tl2
Source: the Alexandria database
Functional: GGA-PBE
Structure: relaxed

The structure in POSCAR format:
```
LaEr4Tl2
1.0
9.310 0.000 0.000
0.000 9.310 0.000
0.000 0.000 5.046
La Er Tl
2 8 4
Direct
0.000 0.000 0.000 La
0.500 0.500 0.500 La
0.098 0.351 0.500 Er
0.149 0.598 0.000 Er
0.351 0.098 0.500 Er
0.402 0.851 0.000 Er
0.598 0.149 0.000 Er
0.649 0.902 0.500 Er
0.851 0.402 0.000 Er
0.902 0.649 0.500 Er
0.204 0.796 0.500 Tl
0.296 0.296 0.000 Tl
0.704 0.704 0.000 Tl
0.796 0.204 0.500 Tl
```

Values from the calculation:
E ... -57.9 eV for the cell shown
N(E_F) ... 8.4 states/eV/f.u.
ΔE_f ... -150.1 meV/atom

(19)
Compound: Zn2ReMoIr
Source: the Alexandria database
Functional: GGA-PBE
Structure: relaxed

The structure in POSCAR format:
```
Zn2ReMoIr
1.0
4.688 0.000 0.000
0.000 4.688 0.000
0.000 0.000 4.690
Zn Re Mo Ir
2 1 1 1
Direct
0.000 0.500 0.000 Zn
0.500 0.000 0.000 Zn
0.000 0.000 0.500 Re
0.500 0.500 0.000 Mo
0.500 0.500 0.500 Ir
```

Values from the calculation:
E ... -25.2 eV for the cell shown
N(E_F) ... 4.0 states/eV/f.u.
ΔE_f ... 1894.0 meV/atom

(20)
Compound: YTcPt2
Source: the Alexandria database
Functional: GGA-PBE
Structure: relaxed

The structure in POSCAR format:
```
YTcPt2
1.0
5.795 0.000 0.000
0.000 5.803 0.000
0.000 0.000 8.553
Y Tc Pt
4 4 8
Direct
0.000 0.000 0.000 Y
0.000 0.500 0.500 Y
0.500 0.000 0.500 Y
0.500 0.500 0.000 Y
0.250 0.250 0.250 Tc
0.250 0.750 0.750 Tc
0.750 0.250 0.750 Tc
0.750 0.750 0.250 Tc
0.000 0.000 0.500 Pt
0.000 0.500 0.000 Pt
0.250 0.250 0.750 Pt
0.250 0.750 0.250 Pt
0.500 0.000 0.000 Pt
0.500 0.500 0.500 Pt
0.750 0.250 0.250 Pt
0.750 0.750 0.750 Pt
```

Values from the calculation:
E ... -121.1 eV for the cell shown
N(E_F) ... 5.3 states/eV/f.u.
ΔE_f ... -340.6 meV/atom
Relative energy among the computed polymorphs ... 10.2 kJ per mole of atoms